Entry 1:
The following is a PBE calculation of a geometry-optimized Ca3Zn2As4 structure, from the Alexandria database.

Computed properties:
calculated formation energy: -7.57 eV per formula unit
Fermi-level density of states: 1.28 states/eV/f.u.

Cell lengths 15.509, 4.192, 6.798 Å; angles 90.00, 112.73, 90.00 degrees
Space group C2/m (No. 12)
One atom of each set of equivalent atoms:
Ca 0.000 0.000 0.000 [2 per cell]
Ca 0.141 0.000 0.578 [4 per cell]
Zn 0.172 0.500 0.974 [4 per cell]
As 0.003 0.500 0.688 [4 per cell]
As 0.208 0.000 0.209 [4 per cell]

***

Entry 2:
The following is a PBE calculation of a geometry-optimized PPdPbS2 structure, from the Alexandria database.

Computed properties:
Fermi-level density of states: 6.99 states/eV/f.u.
DFT total energy: -3.28 eV per atom

Cell lengths 5.187, 5.187, 5.208 Å; angles 90.00, 90.00, 90.00 degrees
Space group P4/mmm (No. 123)
One atom of each set of equivalent atoms:
P 0.000 0.000 0.000 [1 per cell]
Pd 0.500 0.500 0.000 [1 per cell]
Pb 0.000 0.000 0.500 [1 per cell]
S 0.000 0.500 0.500 [2 per cell]

***

Entry 3:
The following is a PBE calculation of a geometry-optimized Tb4Cu2HgOs structure, from the Alexandria database.

Computed properties:
calculated formation energy: -2.44 eV per formula unit
Fermi-level density of states: 4.67 states/eV/f.u.

Cell lengths 5.0171, 5.0171, 24.4192 Å; angles 90.00, 90.00, 120.00 degrees
Space group R-3m (No. 166, hexagonal axes)
One atom of each set of equivalent atoms:
Tb 0.0000 0.0000 0.1171 [6 per cell]
Tb 0.0000 0.0000 0.3684 [6 per cell]
Cu 0.0000 0.0000 0.2463 [6 per cell]
Hg 0.0000 0.0000 0.5000 [3 per cell]
Os 0.0000 0.0000 0.0000 [3 per cell]

***

Entry 4:
The following is a PBE calculation of a geometry-optimized YNb3S structure, from the Alexandria database.

Computed properties:
Fermi-level density of states: 5.73 states/eV/f.u.
DFT total energy: -8.26 eV per atom

Cell lengths 4.706, 4.706, 4.706 Å; angles 90.00, 90.00, 90.00 degrees
Space group Pm-3m (No. 221)
One atom of each set of equivalent atoms:
Y 0.000 0.000 0.000 [1 per cell]
Nb 0.000 0.500 0.500 [3 per cell]
S 0.500 0.500 0.500 [1 per cell]

***

Entry 5:
The following is a PBE calculation of a geometry-optimized KZr2RuO8 structure, from the Alexandria database.

Computed properties:
Fermi-level density of states: 3.04 states/eV/f.u.
DFT total energy: -7.54 eV per atom

Cell lengths 4.839, 6.773, 5.035 Å; angles 90.00, 92.63, 90.00 degrees
Space group P2/m (No. 10)
One atom of each set of equivalent atoms:
K 0.000 0.000 0.000 [1 per cell]
Zr 0.500 0.240 0.500 [2 per cell]
Ru 0.000 0.500 0.000 [1 per cell]
O 0.215 0.310 0.185 [4 per cell]
O 0.272 0.500 0.706 [2 per cell]
O 0.298 0.000 0.638 [2 per cell]

***

Entry 6:
The following is a PBE calculation of a geometry-optimized CoTeW2 structure, from the Alexandria database.

Computed properties:
Fermi-level density of states: 3.97 states/eV/f.u.
DFT total energy: -8.24 eV per atom

Cell lengths 5.340, 8.635, 2.949 Å; angles 90.00, 105.66, 90.00 degrees
Space group C2/m (No. 12)
One atom of each set of equivalent atoms:
Co 0.000 0.000 0.000 [2 per cell]
Te 0.000 0.500 0.000 [2 per cell]
W 0.250 0.250 0.500 [4 per cell]

***

What did the fifth record say?
The following is a PBE calculation of a geometry-optimized KZr2RuO8 structure, from the Alexandria database.

Computed properties:
Fermi-level density of states: 3.04 states/eV/f.u.
DFT total energy: -7.54 eV per atom

Cell lengths 4.839, 6.773, 5.035 Å; angles 90.00, 92.63, 90.00 degrees
Space group P2/m (No. 10)
One atom of each set of equivalent atoms:
K 0.000 0.000 0.000 [1 per cell]
Zr 0.500 0.240 0.500 [2 per cell]
Ru 0.000 0.500 0.000 [1 per cell]
O 0.215 0.310 0.185 [4 per cell]
O 0.272 0.500 0.706 [2 per cell]
O 0.298 0.000 0.638 [2 per cell]

***

Fermi-level density of states of number 1 (Ca3Zn2As4)? 1.28 states/eV/f.u.

***

Among the records above, which one has the lowest Fermi-level density of states? Ca3Zn2As4